! YB6H3O12 PBEsol relaxed; values from VASP
! total magnetization	0.00	μB/cell
! symmetry	R3c
! calculated volume	416.4	Å³/cell
! total energy	-0.581	Ry/atom
&SYSTEM
  ibrav = 0, nat = 44, ntyp = 4
/
ATOMIC_SPECIES
Y 88.91 Y.upf
B 10.81 B.upf
H 1.01 H.upf
O 16.00 O.upf
CELL_PARAMETERS angstrom
4.200 2.425 6.813
-4.200 2.425 6.813
0.000 -4.850 6.813
ATOMIC_POSITIONS angstrom
Y 0.000 0.000 0.000
Y 0.000 0.000 10.220
B -1.205 -2.697 8.527
B -3.261 0.652 9.568
B -2.467 -0.033 11.933
B -1.734 2.392 8.527
B 1.066 -3.150 9.568
B -0.939 -1.773 12.975
B 1.262 -2.120 11.933
B -1.066 1.700 12.975
B 2.938 0.305 8.527
B 1.205 2.153 11.933
B 2.005 0.073 12.975
B 2.195 2.498 9.568
H -2.629 -3.254 11.269
H -1.571 -0.829 7.863
H 1.504 -0.946 7.863
H 0.068 1.775 7.863
H -1.504 3.904 11.269
H 4.133 -0.650 11.269
O -1.957 -3.409 9.586
O -3.734 -0.727 12.108
O -2.894 1.446 8.503
O -1.237 -1.252 8.702
O 0.195 -3.229 8.503
O -2.363 0.582 10.604
O -1.837 -1.843 14.010
O -1.306 -0.979 11.909
O -2.227 0.974 12.992
O 0.677 -2.338 10.604
O -1.974 3.399 9.586
O -0.466 1.698 8.702
O 0.270 -2.415 12.992
O 1.703 -0.445 8.702
O -0.195 1.621 11.909
O 2.497 -2.870 12.108
O 1.501 -0.641 11.909
O -0.677 2.512 14.010
O 1.686 1.756 10.604
O 2.699 1.784 8.503
O 3.930 0.010 9.586
O 2.514 -0.669 14.010
O 1.957 1.441 12.992
O 1.237 3.598 12.108